Record 1
VASP calculation (PBE) on Tb6Cd5Sn after structural relaxation.

The value obtained for the density of states at the Fermi level is 1.15 states/eV/atom. The calculation puts the uncorrected energy at -3.424 eV per atom.

abc: 5.325 7.463 8.447
angles: 90.00 71.63 90.00
Element x y z (fractional)
Cd 0.000 0.500 0.000
Cd 0.325 0.000 0.349
Cd 0.334 0.500 0.333
Cd 0.666 0.500 0.667
Cd 0.675 0.000 0.651
Tb 0.166 0.749 0.668
Tb 0.500 0.752 0.000
Tb 0.500 0.248 0.000
Tb 0.834 0.749 0.332
Tb 0.166 0.251 0.668
Tb 0.834 0.251 0.332
Sn 0.000 0.000 0.000



Record 2
VASP calculation (PBE) on TbCd2Sn after structural relaxation.

The calculation puts the distance to the lowest polymorph of the same formula at 233 kJ/mol of formula units. The value obtained for the density of states at the Fermi level is 0.66 states/eV/atom. The calculation puts the uncorrected energy at -2.443 eV per atom.

abc: 3.341 3.341 11.686
angles: 81.78 81.78 60.00
Element x y z (fractional)
Cd 0.090 0.090 0.729
Cd 0.910 0.910 0.271
Sn 0.500 0.500 0.500
Tb 0.000 0.000 0.000



Record 3
VASP calculation (PBE) on Tb5Cd2Sn after structural relaxation.

The value obtained for the density of states at the Fermi level is 0.85 states/eV/atom. The calculation puts the uncorrected energy at -3.974 eV per atom.

abc: 8.326 8.326 8.824
angles: 118.15 118.15 90.00
Element x y z (fractional)
Tb 0.004 0.504 0.696
Tb 0.996 0.496 0.304
Tb 0.308 0.808 0.304
Tb 0.496 0.308 0.304
Tb 0.500 0.500 0.000
Tb 0.192 0.004 0.696
Tb 0.504 0.692 0.696
Tb 0.692 0.192 0.696
Tb 0.808 0.996 0.304
Tb 0.000 0.000 0.000
Cd 0.135 0.365 0.000
Cd 0.365 0.865 0.000
Cd 0.865 0.635 0.000
Cd 0.635 0.135 0.000
Sn 0.750 0.750 0.500
Sn 0.250 0.250 0.500



Record 4
VASP calculation (PBE) on Tb3Cd2Sn after structural relaxation.

The value obtained for the density of states at the Fermi level is 0.69 states/eV/atom. The calculation puts the uncorrected energy at -3.746 eV per atom.

abc: 3.751 5.297 8.451
angles: 108.26 90.00 90.00
Element x y z (fractional)
Tb 0.500 0.500 0.000
Tb 0.500 0.835 0.671
Tb 0.500 0.165 0.329
Cd 0.000 0.324 0.648
Cd 0.000 0.676 0.352
Sn 0.000 0.000 0.000



Record 5
VASP calculation (PBE) on TbCdSn2 after structural relaxation.

The calculation puts the distance to the lowest polymorph of the same formula at 0 kJ/mol of formula units. The value obtained for the density of states at the Fermi level is 0.33 states/eV/atom. The calculation puts the uncorrected energy at -3.847 eV per atom.

abc: 4.440 4.750 4.750
angles: 90.00 90.00 90.00
Element x y z (fractional)
Cd 0.500 0.000 0.000
Sn 0.000 0.000 0.500
Sn 0.000 0.500 0.000
Tb 0.500 0.500 0.500



Record 6
VASP calculation (PBE) on Tb3CdSn3 after structural relaxation.

The value obtained for the density of states at the Fermi level is 0.51 states/eV/atom. The calculation puts the uncorrected energy at -4.208 eV per atom.

abc: 6.177 9.228 9.228
angles: 120.00 90.00 90.00
Element x y z (fractional)
Tb 0.750 0.361 0.042
Tb 0.250 0.318 0.361
Tb 0.250 0.042 0.682
Tb 0.750 0.958 0.318
Tb 0.750 0.682 0.639
Tb 0.250 0.639 0.958
Sn 0.750 0.657 0.965
Sn 0.750 0.035 0.693
Sn 0.750 0.307 0.343
Sn 0.250 0.343 0.035
Sn 0.250 0.693 0.657
Sn 0.250 0.965 0.307
Cd 0.750 0.333 0.667
Cd 0.250 0.667 0.333



Record 7
VASP calculation (PBE) on TbCd11Sn after structural relaxation.

The value obtained for the density of states at the Fermi level is 0.30 states/eV/atom. The calculation puts the uncorrected energy at -1.473 eV per atom.

abc: 6.431 7.623 7.679
angles: 79.69 65.24 64.70
Element x y z (fractional)
Tb 0.000 0.000 0.000
Cd 0.000 0.000 0.500
Cd 0.729 0.788 0.784
Cd 0.342 0.653 0.649
Cd 0.512 0.788 0.216
Cd 0.991 0.653 0.351
Cd 0.009 0.347 0.649
Cd 0.488 0.212 0.784
Cd 0.500 0.000 0.500
Cd 0.000 0.500 0.000
Cd 0.658 0.347 0.351
Cd 0.271 0.212 0.216
Sn 0.500 0.500 0.000



Record 8
VASP calculation (PBE) on TbCdSn2 after structural relaxation.

The calculation puts the distance to the lowest polymorph of the same formula at 258 kJ/mol of formula units. The value obtained for the density of states at the Fermi level is 0.91 states/eV/atom. The calculation puts the uncorrected energy at -3.177 eV per atom.

abc: 5.135 5.135 8.133
angles: 71.60 71.60 60.00
Element x y z (fractional)
Cd 0.000 0.000 0.000
Tb 0.500 0.500 0.500
Sn 0.125 0.125 0.625
Sn 0.875 0.875 0.375



Record 9
VASP calculation (PBE) on TbCd2Sn after structural relaxation.

The calculation puts the distance to the lowest polymorph of the same formula at 0 kJ/mol of formula units. The value obtained for the density of states at the Fermi level is 0.20 states/eV/atom. The calculation puts the uncorrected energy at -3.047 eV per atom.

abc: 4.835 4.478 4.478
angles: 90.00 90.00 90.00
Element x y z (fractional)
Sn 0.500 0.000 0.000
Tb 0.500 0.500 0.500
Cd 0.000 0.500 0.000
Cd 0.000 0.000 0.500



Record 10
VASP calculation (PBE) on TbCd4Sn after structural relaxation.

The value obtained for the density of states at the Fermi level is 0.40 states/eV/atom. The calculation puts the uncorrected energy at -2.158 eV per atom.

abc: 5.934 5.934 5.934
angles: 60.00 60.00 60.00
Element x y z (fractional)
Cd 0.125 0.625 0.625
Cd 0.625 0.125 0.625
Cd 0.625 0.625 0.625
Cd 0.625 0.625 0.125
Sn 0.000 0.000 0.000
Tb 0.250 0.250 0.250



Record 11
VASP calculation (PBE) on TbTlCdSn after structural relaxation.

The value obtained for the density of states at the Fermi level is 0.43 states/eV/atom. The calculation puts the uncorrected energy at -3.349 eV per atom.

abc: 4.500 4.895 4.643
angles: 90.00 90.00 90.00
Element x y z (fractional)
Tl 0.500 0.000 0.500
Sn 0.500 0.500 0.000
Tb 0.000 0.500 0.500
Cd 0.000 0.000 0.000



Record 12
VASP calculation (PBE) on TbTmCdSn after structural relaxation.

The value obtained for the density of states at the Fermi level is 0.78 states/eV/atom. The calculation puts the uncorrected energy at -3.980 eV per atom.

abc: 5.265 5.265 5.265
angles: 60.00 60.00 60.00
Element x y z (fractional)
Tm 0.000 0.000 0.000
Tb 0.500 0.500 0.500
Cd 0.750 0.750 0.750
Sn 0.250 0.250 0.250



Record 13
VASP calculation (PBE) on TbYCdSn after structural relaxation.

The value obtained for the density of states at the Fermi level is 0.59 states/eV/atom. The calculation puts the uncorrected energy at -4.520 eV per atom.

abc: 5.297 5.297 5.297
angles: 60.00 60.00 60.00
Element x y z (fractional)
Cd 0.250 0.250 0.250
Y 0.500 0.500 0.500
Tb 0.000 0.000 0.000
Sn 0.750 0.750 0.750



Record 14
VASP calculation (PBE) on TbZnCdSn after structural relaxation.

The value obtained for the density of states at the Fermi level is 0.23 states/eV/atom. The calculation puts the uncorrected energy at -3.106 eV per atom.

abc: 4.449 4.391 4.641
angles: 90.00 90.00 90.00
Element x y z (fractional)
Sn 0.000 0.500 0.500
Tb 0.500 0.000 0.500
Zn 0.500 0.500 0.000
Cd 0.000 0.000 0.000



Record 15
VASP calculation (PBE) on CdTc2Sn after structural relaxation.

The calculation puts the distance to the lowest polymorph of the same formula at 0 kJ/mol of formula units. The value obtained for the density of states at the Fermi level is 0.99 states/eV/atom. The calculation puts the uncorrected energy at -5.976 eV per atom.

abc: 4.609 4.609 4.609
angles: 60.00 60.00 60.00
Last column: magnetic moment on the atom in μB.
Element x y z (fractional)
Cd 0.000 0.000 0.000  0.02
Tc 0.250 0.250 0.250  1.00
Tc 0.750 0.750 0.750  1.00
Sn 0.500 0.500 0.500  -0.03



Record 16
VASP calculation (PBE) on Cd3TcSn after structural relaxation.

The calculation puts the distance to the lowest polymorph of the same formula at 0 kJ/mol of formula units. The value obtained for the density of states at the Fermi level is 0.57 states/eV/atom. The calculation puts the uncorrected energy at -2.621 eV per atom.

abc: 5.221 5.221 5.221
angles: 90.00 90.00 90.00
Last column: magnetic moment on the atom in μB.
Element x y z (fractional)
Sn 0.500 0.500 0.500  -0.09
Cd 0.000 0.500 0.000  0.01
Cd 0.000 0.000 0.500  0.01
Cd 0.500 0.000 0.000  -0.02
Tc 0.000 0.000 0.000  1.05



Record 17
VASP calculation (PBE) on Cd2Tc2Sn after structural relaxation.

The value obtained for the density of states at the Fermi level is 0.41 states/eV/atom. The calculation puts the uncorrected energy at -5.054 eV per atom.

abc: 6.682 6.682 4.461
angles: 90.00 90.00 90.00
Element x y z (fractional)
Sn 0.500 0.500 0.000
Sn 0.000 0.000 0.000
Cd 0.329 0.171 0.500
Cd 0.171 0.671 0.500
Cd 0.829 0.329 0.500
Cd 0.671 0.829 0.500
Tc 0.877 0.623 0.000
Tc 0.623 0.123 0.000
Tc 0.123 0.377 0.000
Tc 0.377 0.877 0.000



Record 18
VASP calculation (PBE) on CdTc2Sn2 after structural relaxation.

The calculation puts the distance to the lowest polymorph of the same formula at 152 kJ/mol of formula units. The value obtained for the density of states at the Fermi level is 0.22 states/eV/atom. The calculation puts the uncorrected energy at -5.458 eV per atom.

abc: 4.249 4.249 6.585
angles: 71.18 71.18 90.00
Element x y z (fractional)
Sn 0.250 0.750 0.500
Sn 0.750 0.250 0.500
Tc 0.599 0.599 0.802
Tc 0.401 0.401 0.198
Cd 0.000 0.000 0.000



Record 19
VASP calculation (PBE) on CdTc2Sn after structural relaxation.

The calculation puts the distance to the lowest polymorph of the same formula at 168 kJ/mol of formula units. The value obtained for the density of states at the Fermi level is 1.01 states/eV/atom. The calculation puts the uncorrected energy at -5.541 eV per atom.

abc: 7.515 7.515 5.980
angles: 51.07 51.07 90.00
Last column: magnetic moment on the atom in μB.
Element x y z (fractional)
Sn 0.750 0.250 0.500  -0.01
Sn 0.000 0.000 0.000  -0.01
Tc 0.639 0.125 0.250  0.81
Tc 0.875 0.889 0.750  0.81
Tc 0.375 0.361 0.750  0.81
Tc 0.111 0.625 0.250  0.81
Cd 0.500 0.500 0.000  -0.01
Cd 0.250 0.750 0.500  -0.01



Record 20
VASP calculation (PBE) on CdTc2Sn2 after structural relaxation.

The calculation puts the distance to the lowest polymorph of the same formula at 0 kJ/mol of formula units. The value obtained for the density of states at the Fermi level is 0.80 states/eV/atom. The calculation puts the uncorrected energy at -5.773 eV per atom.

abc: 7.430 7.430 3.443
angles: 90.00 90.00 90.00
Element x y z (fractional)
Cd 0.000 0.000 0.000
Cd 0.500 0.500 0.000
Tc 0.858 0.642 0.000
Tc 0.142 0.358 0.000
Tc 0.642 0.142 0.000
Tc 0.358 0.858 0.000
Sn 0.845 0.345 0.500
Sn 0.155 0.655 0.500
Sn 0.345 0.155 0.500
Sn 0.655 0.845 0.500